{"formula": "Pm2CdNi3Ge4", "functional": "PBE-GGA", "state": "relaxed", "lattice_angstrom": [[4.2010, 0.0000, 0.0000], [0.0000, 4.2010, 0.0000], [0.0000, 0.0000, 10.1699]], "species": ["Pm", "Pm", "Cd", "Ni", "Ni", "Ni", "Ge", "Ge", "Ge", "Ge"], "frac_coords": [[0.5000, 0.0000, 0.2361], [0.0000, 0.5000, 0.7639], [0.5000, 0.5000, 0.5000], [0.0000, 0.0000, 0.5000], [0.5000, 0.0000, 0.8864], [0.0000, 0.5000, 0.1136], [0.5000, 0.5000, 0.0000], [0.0000, 0.0000, 0.0000], [0.5000, 0.0000, 0.6561], [0.0000, 0.5000, 0.3439]], "e_tot_ev_per_atom": -5.220, "ef_mev_per_atom": -597, "n_ef_per_ev_fu": 4.4}